# 1
CaBr2Cl | PBE | relaxed

The structure in POSCAR format:
```
CaBr2Cl
1.0
-2.6408 -4.7982 -1.8189
-0.8810 -0.9432 3.7673
-9.8026 11.6400 0.6218
Br Ca Cl
4 2 2
Cartesian
-5.4825 3.1896 1.6212
-11.2857 7.0550 -0.8730
-6.8249 0.7634 0.6998
-9.9433 9.4812 0.0485
-9.5706 6.9274 1.6010
-4.2288 1.5790 -0.5936
-7.6343 6.5117 -0.1550
-3.1735 0.2201 1.4177
```

Results
SG: Cm (8)
Raw formation energy in eV per atom: -1.51
Volume in Å³/cell: 327



# 2
Ca2BrCl | PBE | relaxed

The structure in POSCAR format:
```
Ca2BrCl
1.0
3.6819 0.0000 0.0000
0.0000 3.8566 0.0000
0.0000 0.0000 7.3586
Ca Br Cl
2 1 1
Cartesian
0.0000 0.0000 3.6498
0.0000 0.0000 0.0295
1.8410 1.9283 5.5189
1.8410 1.9283 1.8396
```

Results
SG: Pmmm (47)
Raw formation energy in eV per atom: -1.09
Volume in Å³/cell: 104